w) Here is a geometry-optimized Tl2In2Pt structure from the Alexandria database. Energies are from PBE.

The structure in POSCAR format:
```
Tl2In2Pt
1.0
-1.5074 6.8519 -0.5281
-3.4468 -0.2861 6.1268
4.6909 1.2398 2.6969
Tl In Pt
4 4 2
Cartesian
1.2457 2.7724 2.2717
-0.0015 6.1574 2.8848
-0.2619 1.6483 5.4107
-1.5090 5.0333 6.0238
-1.4286 0.9419 2.0519
-1.5067 4.4239 0.5869
-3.5256 5.6239 3.5468
-3.4475 2.1419 5.0117
-2.4771 3.2829 2.7993
0.0000 0.0000 0.0000
```

Output
M_tot: 0.0 μB/f.u.

***

x) Here is a geometry-optimized Tl2In2Pt structure from the Alexandria database. Energies are from PBE.

The structure in POSCAR format:
```
Tl2In2Pt
1.0
-6.0515 -3.9203 -0.0256
3.7701 -5.8065 -2.0152
0.7835 -1.2424 5.0457
Tl In Pt
4 4 2
Cartesian
0.3763 -2.6135 -0.7020
-2.6578 -7.1133 -1.3388
1.0947 -6.2725 -1.7145
-3.3762 -3.4543 -0.3263
-0.5284 -8.0682 0.8320
-0.9695 -2.9010 2.1728
1.8902 -5.1729 1.1693
-3.3881 -5.7963 1.8355
-1.1407 -4.8634 -1.0204
0.0000 0.0000 0.0000
```

Output
M_tot: 0.0 μB/f.u.

***

Verdict on stability: x) comes out at the bottom.

***

w) Here is a geometry-optimized TlIn2Pt structure from the Alexandria database. Energies are from PBE.

The structure in POSCAR format:
```
TlIn2Pt
1.0
3.4948 0.0000 0.0000
0.0000 3.2434 -0.0162
0.0000 1.8762 8.4752
Tl In Pt
1 2 1
Cartesian
1.7474 3.8397 6.3442
0.0000 2.8686 3.7237
0.0000 2.9346 0.4896
1.7474 1.2799 2.1147
```

Output
M_tot: 0.0 μB/f.u.

***

x) Here is a geometry-optimized TlIn2Pt structure from the Alexandria database. Energies are from PBE.

The structure in POSCAR format:
```
TlIn2Pt
1.0
-3.7158 -5.2552 5.7362
-5.7102 -5.9112 2.6037
-2.4118 -7.6587 3.1394
In Tl Pt
2 1 1
Cartesian
-11.8036 -18.7708 11.4463
-2.7737 -4.4109 2.6897
-9.0531 -14.3968 8.7790
-5.9641 -9.4845 5.7835
```

Output
M_tot: 0.0 μB/f.u.

***

y) Here is a geometry-optimized TlIn2Pt structure from the Alexandria database. Energies are from PBE.

The structure in POSCAR format:
```
TlIn2Pt
1.0
-3.9350 -1.3806 7.9121
8.0150 -0.1076 3.9674
1.8847 1.9078 6.3253
In Pt Tl
4 2 2
Cartesian
3.6311 0.8635 9.5391
4.2960 0.1379 14.7982
4.6511 0.1187 5.7287
-0.6488 -0.2810 6.3436
2.0400 -0.7441 5.9398
5.9699 0.5280 8.1162
-0.0051 -0.1085 10.0886
0.0000 0.0000 0.0000
```

Output
M_tot: 0.0 μB/f.u.

***

Verdict on stability: x) comes out at the bottom.

***

w) Here is a geometry-optimized TlIn2Pt structure from the Alexandria database. Energies are from PBE.

The structure in POSCAR format:
```
TlIn2Pt
1.0
7.3802 0.0168 0.0198
5.2870 5.1493 -0.0198
-6.0150 -3.3644 2.6399
Pt In Tl
1 2 1
Cartesian
6.4680 2.6379 0.0000
12.6397 5.1549 0.0000
2.9716 -0.7403 1.3298
3.5737 2.4984 1.3101
```

Output
M_tot: 0.0 μB/f.u.

***

x) Here is a geometry-optimized TlIn2Pt structure from the Alexandria database. Energies are from PBE.

The structure in POSCAR format:
```
TlIn2Pt
1.0
4.8288 0.0000 0.0000
0.0000 4.8288 0.0000
0.0000 0.0000 3.9462
Pt Tl In
1 1 2
Cartesian
2.4144 0.0000 1.9731
0.0000 2.4144 1.9731
2.4144 2.4144 0.0000
0.0000 0.0000 0.0000
```

Output
M_tot: 0.0 μB/f.u.

***

y) Here is a geometry-optimized TlIn2Pt structure from the Alexandria database. Energies are from PBE.

The structure in POSCAR format:
```
TlIn2Pt
1.0
3.3573 -0.0051 0.0000
0.0051 3.3573 0.0000
0.0000 0.0000 8.5042
In Pt Tl
2 1 1
Cartesian
0.0000 0.0000 0.4819
0.0000 0.0000 3.7702
1.6812 1.6761 2.1261
1.6812 1.6761 6.3782
```

Output
M_tot: 0.0 μB/f.u.

***

Verdict on stability: x) comes out at the bottom.

***

w) Here is a geometry-optimized TlIn2Pt structure from the Alexandria database. Energies are from PBE.

The structure in POSCAR format:
```
TlIn2Pt
1.0
-4.5127 -0.9205 -0.0897
0.7765 -0.4707 -4.5162
0.2596 -4.4992 -0.1471
Pt In Tl
1 2 1
Cartesian
-2.1266 -2.7099 -0.1184
0.0000 0.0000 0.0000
-1.8681 -0.6956 -2.3029
0.5180 -2.4849 -2.3316
```

Output
M_tot: 0.0 μB/f.u.

***

x) Here is a geometry-optimized TlIn2Pt structure from the Alexandria database. Energies are from PBE.

The structure in POSCAR format:
```
TlIn2Pt
1.0
1.8170 -4.6979 -0.3993
-3.1743 -3.9219 -0.2721
-0.5061 -2.5445 -4.3360
In Tl Pt
2 1 1
Cartesian
-1.3976 -8.3732 -3.7556
-0.4659 -2.7911 -1.2519
-0.9317 -5.5821 -2.5037
0.0000 0.0000 0.0000
```

Output
M_tot: 0.0 μB/f.u.

***

y) Here is a geometry-optimized TlIn2Pt structure from the Alexandria database. Energies are from PBE.

The structure in POSCAR format:
```
TlIn2Pt
1.0
5.7782 -0.0141 0.0091
1.8489 5.4745 -0.0091
-3.0654 -3.7753 3.1207
In Pt Tl
2 1 1
Cartesian
7.3425 5.2566 0.0000
4.0982 2.9339 0.0000
3.2632 -0.5296 1.5649
1.2986 2.2147 1.5558
```

Output
M_tot: 0.0 μB/f.u.

***

z) Here is a geometry-optimized TlIn2Pt structure from the Alexandria database. Energies are from PBE.

The structure in POSCAR format:
```
TlIn2Pt
1.0
-1.9463 4.7524 0.2104
-3.3442 2.9740 -2.5276
-5.8588 0.1505 2.8935
Pt In Tl
1 2 1
Cartesian
-6.5209 4.1217 0.6522
-10.9789 7.8012 0.5385
-7.9107 6.3427 -0.0807
-2.4630 1.4266 0.3309
```

Output
M_tot: 0.0 μB/f.u.

***

Verdict on stability: w) comes out at the bottom.

***

w) Here is a geometry-optimized TlIn2Pt structure from the Alexandria database. Energies are from PBE.

The structure in POSCAR format:
```
TlIn2Pt
1.0
5.0567 0.0000 0.0000
2.5283 4.3792 0.0000
2.5283 1.4597 4.1288
In Tl Pt
2 1 1
Cartesian
2.5283 1.4597 1.0322
0.0000 0.0000 0.0000
7.5850 4.3792 3.0966
5.0567 2.9195 2.0644
```

Output
M_tot: 0.0 μB/f.u.

***

x) Here is a geometry-optimized TlIn2Pt structure from the Alexandria database. Energies are from PBE.

The structure in POSCAR format:
```
TlIn2Pt
1.0
-1.8720 0.5228 -3.5698
-4.0594 -0.1162 -0.1696
-2.2827 7.4808 -0.0626
Pt In Tl
1 2 1
Cartesian
-6.1606 5.9155 -2.8515
-4.1233 4.4116 -1.8235
-2.2665 7.0129 -0.1401
-2.0535 1.9718 -0.9505
```

Output
M_tot: 0.0 μB/f.u.

***

Verdict on stability: w) comes out at the bottom.

***

w) Here is a geometry-optimized TlIn2Pt structure from the Alexandria database. Energies are from PBE.

The structure in POSCAR format:
```
TlIn2Pt
1.0
5.5565 0.0725 0.0000
1.9048 5.2203 0.0000
-3.7306 -2.6464 3.1557
In Tl Pt
2 1 1
Cartesian
0.0000 0.0000 0.0000
0.9524 2.6101 1.5779
2.7782 0.0362 1.5779
3.7306 2.6464 0.0000
```

Output
M_tot: 0.0 μB/f.u.

***

x) Here is a geometry-optimized TlIn2Pt structure from the Alexandria database. Energies are from PBE.

The structure in POSCAR format:
```
TlIn2Pt
1.0
-3.4972 0.6296 -1.6990
0.2622 -5.4516 -2.5599
-2.0084 -5.2507 2.1884
In Tl Pt
2 1 1
Cartesian
-2.3134 -3.1468 -0.9697
-0.0073 -0.0455 -0.0019
-2.9378 -6.9721 -1.1018
-0.8579 -5.2594 -0.1830
```

Output
M_tot: 0.0 μB/f.u.

***

Verdict on stability: w) comes out at the bottom.

***

w) Here is a geometry-optimized TmInPt4 structure from the Alexandria database. Energies are from PBE.

The structure in POSCAR format:
```
TmInPt4
1.0
-2.5779 2.5290 -3.9974
1.6934 -0.5693 -5.0822
-2.9425 -2.8244 -3.5192
In Tm Pt
1 1 4
Cartesian
-0.9568 -0.2162 -3.1497
0.0000 0.0000 0.0000
-3.2350 -0.2563 -5.3357
-2.3906 -0.5401 -7.8699
-1.1052 -1.8012 -5.8767
-0.9233 0.8682 -6.1151
```

Output
M_tot: 0.0 μB/f.u.

***

x) Here is a geometry-optimized TmInPt4 structure from the Alexandria database. Energies are from PBE.

The structure in POSCAR format:
```
TmInPt4
1.0
4.8592 0.9780 -0.0047
0.9777 4.8592 -0.0061
0.0028 0.0046 5.4853
Pt In Tm
4 1 1
Cartesian
0.4973 2.4238 4.1111
0.4960 2.4208 1.3479
3.4111 5.3369 4.1057
3.4091 5.3349 1.3425
2.9289 2.9074 5.4694
0.9780 4.8543 2.7263
```

Output
M_tot: 0.0 μB/f.u.

***

Verdict on stability: x) comes out at the bottom.

***

w) Here is a geometry-optimized UInPt4 structure from the Alexandria database. Energies are from PBE.

The structure in POSCAR format:
```
UInPt4
1.0
-1.5858 -1.4912 3.5346
5.2381 -0.6251 2.0863
0.4210 9.7441 1.8623
Pt U In
8 2 2
Cartesian
4.1490 4.9208 6.3751
2.4706 2.4032 2.1223
1.6027 5.2247 5.3609
2.6191 -0.3125 1.0432
3.6092 7.2593 4.6819
0.0000 0.0000 0.0000
-0.0757 2.7070 1.1081
0.4642 0.3686 2.8013
0.9997 7.3410 3.5456
3.0737 0.2869 3.9376
0.3461 3.2251 3.9535
3.7273 4.4027 3.5297
```

Output
M_tot: 1.5 μB/f.u.

***

x) Here is a geometry-optimized UInPt4 structure from the Alexandria database. Energies are from PBE.

The structure in POSCAR format:
```
UInPt4
1.0
5.3967 0.0000 0.0000
2.6983 4.6737 0.0000
2.6983 1.5579 4.4064
Pt In U
4 1 1
Cartesian
4.0518 3.8922 2.7522
5.3967 1.5628 2.7522
6.7416 3.8922 2.7522
5.3967 3.1158 0.5560
2.6983 1.5579 1.1016
0.0000 0.0000 0.0000
```

Output
M_tot: 1.7 μB/f.u.

***

Verdict on stability: x) comes out at the bottom.

***

w) Here is a geometry-optimized VIn3Pt structure from the Alexandria database. Energies are from PBE.

The structure in POSCAR format:
```
VIn3Pt
1.0
5.1525 0.0000 0.0000
0.0000 5.1525 0.0000
0.0000 0.0000 5.1525
V Pt In
1 1 3
Cartesian
2.5763 2.5763 2.5763
0.0000 0.0000 0.0000
0.0000 0.0000 2.5763
2.5763 0.0000 0.0000
0.0000 2.5763 0.0000
```

Output
M_tot: 4.3 μB/f.u.

***

x) Here is a geometry-optimized VIn3Pt structure from the Alexandria database. Energies are from PBE.

The structure in POSCAR format:
```
VIn3Pt
1.0
-2.9148 2.3693 3.4220
-0.1784 -4.2450 2.7871
4.1584 1.4786 2.5183
V Pt In
1 1 3
Cartesian
0.0000 0.0000 0.0000
0.5326 -0.1986 4.3637
-0.0892 -2.1225 1.3935
-1.4574 1.1846 1.7110
2.0792 0.7393 1.2591
```

Output
M_tot: 0.6 μB/f.u.

***

Verdict on stability: x) comes out at the bottom.

***

w) Here is a geometry-optimized In2PtW structure from the Alexandria database. Energies are from PBE.

The structure in POSCAR format:
```
In2PtW
1.0
-0.5807 -0.7117 -2.7918
1.4618 -2.5269 0.3401
-7.1161 -3.7875 2.4455
In Pt W
2 1 1
Cartesian
-3.4949 -1.8601 1.2011
-0.0631 -0.0336 0.0217
-1.3384 -2.5662 -0.6145
-4.8965 -4.4599 0.6082
```

Output
M_tot: 0.2 μB/f.u.

***

x) Here is a geometry-optimized In2PtW structure from the Alexandria database. Energies are from PBE.

The structure in POSCAR format:
```
In2PtW
1.0
-0.7418 -2.6866 -3.5623
2.8626 -0.4059 -0.2900
0.0422 -4.5569 3.4279
Pt In W
1 2 1
Cartesian
0.3553 -2.5840 -0.9967
1.0455 -2.4471 1.6278
0.4491 -4.5912 3.3691
1.8077 -5.0654 0.5723
```

Output
M_tot: 0.0 μB/f.u.

***

Verdict on stability: x) comes out at the bottom.

***

w) Here is a geometry-optimized In2PtW structure from the Alexandria database. Energies are from PBE.

The structure in POSCAR format:
```
In2PtW
1.0
-1.0792 -2.2222 1.6348
2.5939 -1.4151 -0.2112
2.8160 4.0607 7.3790
In Pt W
2 1 1
Cartesian
1.5474 -0.6794 2.7820
2.7208 3.9233 7.1294
1.4904 2.1491 3.9054
2.7962 1.1213 6.0542
```

Output
M_tot: 0.0 μB/f.u.

***

x) Here is a geometry-optimized In2PtW structure from the Alexandria database. Energies are from PBE.

The structure in POSCAR format:
```
In2PtW
1.0
-9.3221 -1.9544 1.4717
-8.0964 -4.3666 2.8755
-8.4128 -1.7302 4.3725
Pt In W
1 2 1
Cartesian
-12.7936 -3.9875 4.3186
-0.1288 -0.0401 0.0435
-6.2896 -1.9603 2.1231
-19.5351 -6.0887 6.5943
```

Output
M_tot: 0.0 μB/f.u.

***

Verdict on stability: x) comes out at the bottom.

***

w) Here is a geometry-optimized In2PtW structure from the Alexandria database. Energies are from PBE.

The structure in POSCAR format:
```
In2PtW
1.0
7.5670 0.0000 0.0000
0.0000 7.5670 0.0000
3.7835 3.7835 2.8383
In W Pt
4 2 2
Cartesian
1.7531 5.6752 0.7096
9.4587 9.5973 2.1287
5.6752 5.5366 2.1287
5.8138 1.8917 0.7096
3.7835 7.5670 1.4191
3.7835 3.7835 0.0000
7.5670 3.7835 1.4191
0.0000 0.0000 0.0000
```

Output
M_tot: 1.1 μB/f.u.

***

x) Here is a geometry-optimized In2PtW structure from the Alexandria database. Energies are from PBE.

The structure in POSCAR format:
```
In2PtW
1.0
-2.5015 1.1935 3.7952
-4.6260 0.7399 -0.3720
-3.0283 -3.0644 1.8774
Pt W In
1 1 2
Cartesian
-5.0779 -0.5655 2.6503
0.0000 0.0000 0.0000
-7.6168 -0.8482 3.9754
-2.5389 -0.2827 1.3251
```

Output
M_tot: 0.7 μB/f.u.

***

Verdict on stability: w) comes out at the bottom.